The following is a SCAN calculation of a PBEsol-optimized structure of ZrAs2Br, from Alexandria.

```
data_ZrAs2Br
_chemical_formula_sum 'Zr1 As2 Br1'
_cell_length_a 3.526
_cell_length_b 3.803
_cell_length_c 7.177
_cell_angle_alpha 90.00
_cell_angle_beta 90.00
_cell_angle_gamma 90.00
_symmetry_space_group_name_H-M 'P m m 2'
_symmetry_Int_Tables_number 25
loop_
_symmetry_equiv_pos_as_xyz
'x,y,z'
'-x,-y,z'
'-x,y,z'
'x,-y,z'
loop_
_atom_site_label
_atom_site_fract_x
_atom_site_fract_y
_atom_site_fract_z
_atom_site_occupancy
Zr1 0.000 0.000 0.000 1
As1 0.000 0.500 0.347 1
As2 0.500 0.500 0.107 1
Br1 0.500 0.000 0.710 1
```

For the raw formation energy, the calculation gives -716 meV per atom. The value obtained for the offset from the most stable computed form is 0.000 eV/atom. The calculation puts the density of states at the Fermi level at 1.411 states/eV per cell.